# 1
KCaH2F | PBE-GGA | relaxed

Symmetry: P4/mmm
Density of states at the Fermi level (states/eV/f.u.): 0.0
Raw total energy (eV/atom): -3.750

Cell lengths 4.461, 4.461, 4.478 Å; angles 90.00, 90.00, 90.00 degrees
Atoms (fractional coordinates):
K  0.000  0.000  0.000
Ca  0.500  0.500  0.500
H  0.000  0.500  0.500
H  0.500  0.000  0.500
F  0.500  0.500  0.000

---

# 2
Rb3HSe2O8 | PBE-GGA | relaxed

Symmetry: C2/m
Density of states at the Fermi level (states/eV/f.u.): 0.0
Raw total energy (eV/atom): -5.040

Cell lengths 6.282, 6.282, 8.614 Å; angles 112.72, 112.72, 58.20 degrees
Atoms (fractional coordinates):
Rb  0.000  0.000  0.000
Rb  0.195  0.195  0.622
Rb  0.805  0.805  0.378
H  0.500  0.500  0.000
Se  0.432  0.432  0.231
Se  0.568  0.568  0.769
O  0.251  0.703  0.688
O  0.287  0.287  0.246
O  0.297  0.749  0.312
O  0.393  0.393  0.012
O  0.607  0.607  0.988
O  0.703  0.251  0.688
O  0.713  0.713  0.754
O  0.749  0.297  0.312

---

# 3
NaSrLa3 | PBE-GGA | relaxed

Symmetry: Pm-3m
Energy of formation from the pure elements (kcal/mol of atoms): 13.60
Density of states at the Fermi level (states/eV/f.u.): 8.6
Raw total energy (eV/atom): -2.967

Cell lengths 6.013, 6.013, 6.013 Å; angles 90.00, 90.00, 90.00 degrees
Atoms (fractional coordinates):
Na  0.000  0.000  0.000
Sr  0.500  0.500  0.500
La  0.000  0.000  0.500
La  0.000  0.500  0.000
La  0.500  0.000  0.000